Entry 1:
5
Lattice="6.992 0.000 0.000 0.000 6.992 0.000 0.000 0.000 6.992" Properties=species:S:1:pos:R:3 comment="K3BaMg PBE optimized geometry" space_group="No. 221" de_polymorph_kj_per_mol_atoms=0.0 delta_e_f_mev_per_atom=310.2 dft_energy_ev_per_atom=-1.052 pbc="T T T"
K 0.000 0.000 3.496
K 0.000 3.496 0.000
K 3.496 0.000 0.000
Ba 3.496 3.496 3.496
Mg 0.000 0.000 0.000

***

Entry 2:
6
Lattice="2.413 -12.468 0.000 2.413 12.468 0.000 0.000 0.000 5.366" Properties=species:S:1:pos:R:3 comment="KBaMg PBE optimized geometry" space_group="No. 63" delta_e_f_mev_per_atom=20.5 dft_energy_ev_per_atom=-1.518 pbc="T T T"
K 2.413 7.587 4.024
K 2.413 -7.587 1.341
Ba 2.413 1.965 4.024
Ba 2.413 -1.965 1.341
Mg 2.413 11.593 4.024
Mg 2.413 -11.593 1.341

***

Entry 3:
10
Lattice="10.703 0.000 0.000 0.000 10.703 0.000 0.000 0.000 4.079" Properties=species:S:1:pos:R:3 comment="KBa2Mg2 PBE optimized geometry" space_group="No. 127" de_polymorph_kj_per_mol_atoms=3.7 delta_e_f_mev_per_atom=93.0 dft_energy_ev_per_atom=-1.533 pbc="T T T"
K 0.000 0.000 0.000
K 5.352 5.352 0.000
Ba 1.437 3.914 0.000
Ba 3.914 9.266 0.000
Ba 6.789 1.437 0.000
Ba 9.266 6.789 0.000
Mg 1.678 7.030 2.040
Mg 3.674 1.678 2.040
Mg 7.030 9.025 2.040
Mg 9.025 3.674 2.040

***

Entry 4:
6
Lattice="0.000 4.670 4.670 4.670 0.000 4.670 4.670 4.670 0.000" Properties=species:S:1:pos:R:3 comment="KBaMg4 PBE optimized geometry" space_group="No. 216" delta_e_f_mev_per_atom=30.7 dft_energy_ev_per_atom=-1.536 pbc="T T T"
K 0.000 0.000 0.000
Ba 7.004 7.004 7.004
Mg 3.501 3.501 3.501
Mg 5.838 5.838 3.501
Mg 5.838 3.501 5.838
Mg 3.501 5.838 5.838

***

Entry 5:
3
Lattice="6.326 0.000 0.000 -3.163 5.478 0.000 0.000 0.000 4.191" Properties=species:S:1:pos:R:3 comment="KBaMg PBE optimized geometry" space_group="No. 156" delta_e_f_mev_per_atom=185.7 dft_energy_ev_per_atom=-1.353 pbc="T T T"
K 0.000 0.000 0.000
Ba 0.000 3.652 2.410
Mg 3.163 1.826 0.620

***

Entry 6:
4
Lattice="-2.233 3.339 7.172 2.233 -3.339 7.172 2.233 3.339 -7.172" Properties=species:S:1:pos:R:3 comment="KBa2Mg PBE optimized geometry" space_group="No. 44" delta_e_f_mev_per_atom=103.7 dft_energy_ev_per_atom=-1.531 pbc="T T T"
K 0.000 0.000 0.000
Ba 0.000 0.000 5.889
Ba 0.000 3.339 2.979
Mg 2.233 0.000 2.995

***

Entry 7:
4
Lattice="4.600 -4.604 0.000 4.600 4.604 0.000 0.000 0.000 4.886" Properties=species:S:1:pos:R:3 comment="KBa2Mg PBE optimized geometry" space_group="No. 65" delta_e_f_mev_per_atom=127.7 dft_energy_ev_per_atom=-1.507 pbc="T T T"
K 0.000 0.000 0.000
Ba 2.300 2.302 2.443
Ba 2.300 -2.302 2.443
Mg 4.600 0.000 0.000

***

Entry 8:
3
Lattice="0.000 4.406 4.406 4.406 0.000 4.406 4.406 4.406 0.000" Properties=species:S:1:pos:R:3 comment="KBaMg PBE optimized geometry" space_group="No. 216" delta_e_f_mev_per_atom=226.0 dft_energy_ev_per_atom=-1.312 pbc="T T T"
K 0.000 0.000 0.000
Ba 4.406 4.406 4.406
Mg 2.203 2.203 2.203

***

Entry 9:
4
Lattice="2.184 1.261 13.432 -2.184 1.261 13.432 0.000 -2.521 13.432" Properties=species:S:1:pos:R:3 comment="KBa2Mg PBE optimized geometry" space_group="No. 166" delta_e_f_mev_per_atom=108.9 dft_energy_ev_per_atom=-1.526 pbc="T T T"
K 0.000 0.000 0.000
Ba 0.000 0.000 9.455
Ba 0.000 0.000 30.840
Mg 0.000 0.000 20.147

***

Entry 10:
4
Lattice="-2.847 2.847 6.393 2.847 -2.847 6.393 2.847 2.847 -6.393" Properties=species:S:1:pos:R:3 comment="KBa2Mg PBE optimized geometry" space_group="No. 119" delta_e_f_mev_per_atom=161.6 dft_energy_ev_per_atom=-1.473 pbc="T T T"
K 0.000 0.000 0.000
Ba 0.000 0.000 6.393
Ba 0.000 2.847 3.196
Mg 2.847 0.000 3.196

***

Entry 11:
10
Lattice="10.060 0.000 0.000 0.000 10.060 0.000 0.000 0.000 4.785" Properties=species:S:1:pos:R:3 comment="KBa2Mg2 PBE optimized geometry" space_group="No. 127" de_polymorph_kj_per_mol_atoms=0.0 delta_e_f_mev_per_atom=54.7 dft_energy_ev_per_atom=-1.572 pbc="T T T"
K 0.000 0.000 0.000
K 5.030 5.030 0.000
Ba 1.665 3.365 2.392
Ba 3.365 8.395 2.392
Ba 6.696 1.665 2.392
Ba 8.395 6.696 2.392
Mg 1.199 6.229 0.000
Mg 3.831 1.199 0.000
Mg 6.229 8.861 0.000
Mg 8.861 3.831 0.000

***

Entry 12:
8
Lattice="5.158 0.000 0.000 0.000 3.434 7.255 0.000 -3.434 7.255" Properties=species:S:1:pos:R:3 comment="KBaMg6 PBE optimized geometry" space_group="No. 38" de_polymorph_kj_per_mol_atoms=4.2 delta_e_f_mev_per_atom=150.1 dft_energy_ev_per_atom=-1.423 pbc="T T T"
K 0.000 0.000 0.000
Ba 0.000 0.000 7.814
Mg 0.000 -1.600 3.874
Mg 0.000 1.600 3.874
Mg 2.579 -1.522 5.615
Mg 2.579 0.000 2.684
Mg 2.579 1.522 5.615
Mg 2.579 0.000 10.428

***

Entry 13:
5
Lattice="-2.220 2.220 13.140 2.220 -2.220 13.140 2.220 2.220 -13.140" Properties=species:S:1:pos:R:3 comment="KBa2Mg2 PBE optimized geometry" space_group="No. 139" de_polymorph_kj_per_mol_atoms=8.2 delta_e_f_mev_per_atom=139.7 dft_energy_ev_per_atom=-1.487 pbc="T T T"
K 0.000 0.000 0.000
Ba 0.000 0.000 9.592
Ba 0.000 0.000 16.688
Mg 2.220 0.000 6.570
Mg 0.000 2.220 6.570

***

Entry 14:
4
Lattice="2.197 1.269 13.439 -2.197 1.269 13.439 0.000 -2.537 13.439" Properties=species:S:1:pos:R:3 comment="KBa2Mg PBE optimized geometry" space_group="No. 160" delta_e_f_mev_per_atom=159.2 dft_energy_ev_per_atom=-1.475 pbc="T T T"
K 0.000 0.000 0.000
Ba 0.000 0.000 21.151
Ba 0.000 0.000 30.830
Mg 0.000 0.000 10.424

***

Entry 15:
4
Lattice="0.000 4.613 4.613 4.613 0.000 4.613 4.613 4.613 0.000" Properties=species:S:1:pos:R:3 comment="KBa2Mg PBE optimized geometry" space_group="No. 216" delta_e_f_mev_per_atom=175.5 dft_energy_ev_per_atom=-1.459 pbc="T T T"
K 0.000 0.000 0.000
Ba 2.306 2.306 2.306
Ba 4.613 4.613 4.613
Mg 6.919 6.919 6.919